1.
4
Lattice="3.355 0.005 0.000 -1.512 2.995 0.000 0.000 0.000 9.055" Properties=species:S:1:pos:R:3 comment="ZnAs2Cl PBE-GGA relaxed" relative_energy_ev_per_atom=0.258 crystal_system=orthorhombic raw_formation_energy_mev_per_atom=-15 mass_density_g_cm3=4.6 m_tot_mub_per_fu=0.000 pbc="T T T"
Zn 0.922 1.500 6.838
As 0.922 1.500 1.651
Cl 0.000 0.000 5.268
As 0.000 0.000 8.880


2.
4
Lattice="-1.539 -3.571 5.124 0.731 -5.225 3.679 2.706 0.903 3.218" Properties=species:S:1:pos:R:3 comment="ZnAs2Cl PBE-GGA relaxed" relative_energy_ev_per_atom=0.335 crystal_system=monoclinic raw_formation_energy_mev_per_atom=62 mass_density_g_cm3=5.2 m_tot_mub_per_fu=0.000 pbc="T T T"
As 2.536 0.458 3.460
Zn 1.423 -5.920 9.016
Cl 0.474 -1.973 3.005
As 1.119 -3.502 5.768


3.
22
Lattice="7.787 0.000 3.437 3.662 8.509 2.244 -0.241 -1.033 11.085" Properties=species:S:1:pos:R:3 comment="ZnAs2Cl8 PBE-GGA relaxed" relative_energy_ev_per_atom=0.000 crystal_system=monoclinic raw_formation_energy_mev_per_atom=-767 mass_density_g_cm3=2.2 m_tot_mub_per_fu=0.000 pbc="T T T"
Cl 5.314 1.910 7.948
Cl 6.912 3.376 12.000
Zn 7.647 1.353 11.926
Cl 9.123 5.739 9.704
As 1.889 -0.589 11.698
Cl 4.296 4.100 4.766
Cl 7.206 -0.670 11.333
Cl 2.085 1.737 7.063
Cl 3.039 -0.622 9.830
Cl 8.093 0.968 14.531
Cl 2.993 3.327 9.934
Cl 5.894 5.566 8.818
Cl 3.377 1.828 1.797
Cl 3.115 6.508 2.236
Zn 3.561 6.123 4.840
Cl 8.169 8.098 6.937
As 9.319 8.065 5.069
Cl 7.831 5.648 14.969
Cl 4.002 8.146 5.433
As 3.598 3.295 7.826
As 7.610 4.182 8.940
Cl 8.215 4.149 6.832


4.
11
Lattice="-4.222 5.192 5.342 -5.947 2.259 -4.073 -3.887 -4.768 4.385" Properties=species:S:1:pos:R:3 comment="ZnAs2Cl8 PBE-GGA relaxed" relative_energy_ev_per_atom=0.011 crystal_system=monoclinic raw_formation_energy_mev_per_atom=-755 mass_density_g_cm3=1.8 m_tot_mub_per_fu=0.000 pbc="T T T"
Cl -2.916 1.637 -0.169
Cl -2.292 -0.491 2.391
Cl -11.764 3.173 3.263
As -3.487 1.327 1.952
Cl -8.602 2.267 3.980
Cl -5.454 0.416 1.674
Cl -5.052 3.610 4.231
Zn 0.000 0.000 0.000
Cl -11.140 1.046 5.823
As -10.569 1.356 3.702
Cl -9.003 -0.928 1.423


5.
4
Lattice="3.824 0.000 0.000 0.000 6.497 0.075 0.000 4.229 3.129" Properties=species:S:1:pos:R:3 comment="Zn2AsCl PBE-GGA relaxed" relative_energy_ev_per_atom=0.221 crystal_system=monoclinic raw_formation_energy_mev_per_atom=-261 mass_density_g_cm3=5.2 m_tot_mub_per_fu=0.000 pbc="T T T"
Zn 1.912 3.248 0.038
As 1.912 5.363 1.602
Cl 0.000 2.114 1.565
Zn 0.000 0.000 0.000


6.
6
Lattice="0.000 4.155 4.155 4.155 0.000 4.155 4.155 4.155 0.000" Properties=species:S:1:pos:R:3 comment="ZnAsCl4 PBE-GGA relaxed" crystal_system=cubic raw_formation_energy_mev_per_atom=803 mass_density_g_cm3=3.3 m_tot_mub_per_fu=2.741 pbc="T T T"
Cl 5.196 5.196 3.115
Cl 5.196 3.115 5.196
Zn 6.233 6.233 6.233
As 0.000 0.000 0.000
Cl 3.115 3.115 3.115
Cl 3.115 5.196 5.196


7.
4
Lattice="-2.183 1.447 -1.917 -1.115 -3.045 0.134 -4.162 1.792 6.092" Properties=species:S:1:pos:R:3 comment="ZnAs2Cl PBE-GGA relaxed" relative_energy_ev_per_atom=0.449 crystal_system=orthorhombic raw_formation_energy_mev_per_atom=176 mass_density_g_cm3=5.3 m_tot_mub_per_fu=0.000 pbc="T T T"
As -3.991 1.719 5.842
Cl -2.690 -0.351 0.631
As -2.252 0.970 3.296
Zn -4.771 0.545 3.677


8.
4
Lattice="-1.588 -5.367 3.011 -2.357 -5.866 -0.654 3.732 -1.434 -0.588" Properties=species:S:1:pos:R:3 comment="ZnAs2Cl PBE-GGA relaxed" relative_energy_ev_per_atom=0.096 crystal_system=monoclinic raw_formation_energy_mev_per_atom=-177 mass_density_g_cm3=4.5 m_tot_mub_per_fu=0.000 pbc="T T T"
As -3.097 -10.328 2.056
Zn -0.671 -9.456 1.428
Cl 0.061 -7.354 0.988
As -0.556 -3.094 0.538